No. 1
This record from the Alexandria database describes crystalline Rb5V2F12 at its relaxed geometry. The functional is PBE+U.

Lattice parameters (Å, degrees): 8.209 8.209 7.849 105.22 105.22 70.07
Element x y z (fractional)
1 Rb 0.000 0.000 0.000
2 Rb 0.262 0.262 0.493
3 Rb 0.434 0.434 0.162
4 Rb 0.566 0.566 0.838
5 Rb 0.738 0.738 0.507
6 V 0.171 0.829 0.500
7 V 0.829 0.171 0.500
8 F 0.088 0.088 0.612
9 F 0.111 0.777 0.695
10 F 0.187 0.595 0.379
11 F 0.223 0.889 0.305
12 F 0.370 0.370 0.820
13 F 0.405 0.813 0.621
14 F 0.595 0.187 0.379
15 F 0.630 0.630 0.180
16 F 0.777 0.111 0.695
17 F 0.813 0.405 0.621
18 F 0.889 0.223 0.305
19 F 0.912 0.912 0.388

Output
- magnetization (μB/atom) = 0.16
- DOS at the Fermi energy (states/eV per cell) = 5.7
- E (eV per formula unit) = -94.2
- crystal system = monoclinic

No. 2
This record from the Alexandria database describes crystalline Rb2V3F10 at its relaxed geometry. The functional is PBE+U.

Lattice parameters (Å, degrees): 10.172 10.172 8.115 111.60 111.60 36.64
Element x y z (fractional)
1 Rb 0.110 0.110 0.219
2 Rb 0.210 0.210 0.822
3 Rb 0.790 0.790 0.178
4 Rb 0.890 0.890 0.781
5 V 0.249 0.751 0.500
6 V 0.318 0.318 0.486
7 V 0.422 0.422 0.031
8 V 0.578 0.578 0.969
9 V 0.682 0.682 0.514
10 V 0.751 0.249 0.500
11 F 0.000 0.500 0.500
12 F 0.020 0.020 0.678
13 F 0.135 0.585 0.032
14 F 0.159 0.616 0.483
15 F 0.267 0.267 0.236
16 F 0.306 0.694 0.000
17 F 0.365 0.365 0.754
18 F 0.384 0.841 0.517
19 F 0.415 0.865 0.968
20 F 0.475 0.475 0.306
21 F 0.500 0.000 0.500
22 F 0.525 0.525 0.694
23 F 0.585 0.135 0.032
24 F 0.616 0.159 0.483
25 F 0.635 0.635 0.246
26 F 0.694 0.306 0.000
27 F 0.733 0.733 0.764
28 F 0.841 0.384 0.517
29 F 0.865 0.415 0.968
30 F 0.980 0.980 0.322

Output
- magnetization (μB/atom) = 0.47
- DOS at the Fermi energy (states/eV per cell) = 2.2
- E (eV per formula unit) = -85.8
- crystal system = monoclinic

No. 3
This record from the Alexandria database describes crystalline Rb3VF8 at its relaxed geometry. The functional is PBE+U.

Lattice parameters (Å, degrees): 8.371 8.371 7.578 90.00 90.00 120.00
Element x y z (fractional)
1 Rb 0.155 0.311 0.000
2 Rb 0.155 0.845 0.000
3 Rb 0.311 0.155 0.500
4 Rb 0.689 0.845 0.000
5 Rb 0.845 0.155 0.500
6 Rb 0.845 0.689 0.500
7 V 0.333 0.667 0.524
8 V 0.667 0.333 0.024
9 F 0.000 0.000 0.242
10 F 0.000 0.000 0.742
11 F 0.128 0.564 0.661
12 F 0.229 0.459 0.388
13 F 0.229 0.771 0.388
14 F 0.333 0.667 0.016
15 F 0.436 0.564 0.661
16 F 0.436 0.872 0.661
17 F 0.459 0.229 0.888
18 F 0.541 0.771 0.388
19 F 0.564 0.128 0.161
20 F 0.564 0.436 0.161
21 F 0.667 0.333 0.516
22 F 0.771 0.229 0.888
23 F 0.771 0.541 0.888
24 F 0.872 0.436 0.161

Output
- magnetization (μB/atom) = 0.01
- DOS at the Fermi energy (states/eV per cell) = 10.7
- E (eV per formula unit) = -57.2
- crystal system = hexagonal

No. 4
This record from the Alexandria database describes crystalline RbVF2 at its relaxed geometry. The functional is PBE+U.

Lattice parameters (Å, degrees): 7.610 7.610 7.610 28.81 28.81 28.81
Element x y z (fractional)
1 Rb 0.000 0.000 0.000
2 V 0.500 0.500 0.500
3 F 0.410 0.410 0.410
4 F 0.590 0.590 0.590

Output
- magnetization (μB/atom) = 0.82
- DOS at the Fermi energy (states/eV per cell) = 3.8
- distance to the lowest polymorph of the same formula (meV per atom) = 0.0
- crystal system = trigonal

No. 5
This record from the Alexandria database describes crystalline Rb3VF at its relaxed geometry. The functional is PBE+U.

Lattice parameters (Å, degrees): 5.856 5.856 5.856 90.00 90.00 90.00
Element x y z (fractional)
1 Rb 0.000 0.000 0.500
2 Rb 0.000 0.500 0.000
3 Rb 0.500 0.000 0.000
4 V 0.500 0.500 0.500
5 F 0.000 0.000 0.000

Output
- magnetization (μB/atom) = 0.96
- DOS at the Fermi energy (states/eV per cell) = 4.1
- distance to the lowest polymorph of the same formula (meV per atom) = 0.0
- crystal system = cubic

No. 6
This record from the Alexandria database describes crystalline Rb3V5F12 at its relaxed geometry. The functional is PBE+U.

Lattice parameters (Å, degrees): 12.193 12.193 12.193 109.47 109.47 109.47
Element x y z (fractional)
1 Rb 0.125 0.250 0.375
2 Rb 0.125 0.375 0.750
3 Rb 0.250 0.375 0.125
4 Rb 0.250 0.875 0.625
5 Rb 0.375 0.125 0.250
6 Rb 0.375 0.750 0.125
7 Rb 0.625 0.250 0.875
8 Rb 0.625 0.875 0.750
9 Rb 0.750 0.125 0.375
10 Rb 0.750 0.625 0.875
11 Rb 0.875 0.625 0.250
12 Rb 0.875 0.750 0.625
13 V 0.000 0.000 0.000
14 V 0.000 0.000 0.500
15 V 0.000 0.500 0.000
16 V 0.000 0.500 0.500
17 V 0.125 0.750 0.875
18 V 0.125 0.875 0.250
19 V 0.250 0.125 0.875
20 V 0.250 0.625 0.375
21 V 0.375 0.250 0.625
22 V 0.375 0.625 0.750
23 V 0.500 0.000 0.000
24 V 0.500 0.000 0.500
25 V 0.500 0.500 0.000
26 V 0.500 0.500 0.500
27 V 0.625 0.375 0.250
28 V 0.625 0.750 0.375
29 V 0.750 0.375 0.625
30 V 0.750 0.875 0.125
31 V 0.875 0.125 0.750
32 V 0.875 0.250 0.125
33 F 0.009 0.187 0.097
34 F 0.009 0.322 0.912
35 F 0.088 0.597 0.411
36 F 0.088 0.991 0.678
37 F 0.089 0.687 0.678
38 F 0.089 0.903 0.412
39 F 0.097 0.009 0.187
40 F 0.097 0.588 0.911
41 F 0.178 0.187 0.589
42 F 0.178 0.491 0.588
43 F 0.187 0.097 0.009
44 F 0.187 0.589 0.178
45 F 0.313 0.322 0.911
46 F 0.313 0.491 0.403
47 F 0.322 0.911 0.313
48 F 0.322 0.912 0.009
49 F 0.403 0.313 0.491
50 F 0.403 0.589 0.912
51 F 0.411 0.088 0.597
52 F 0.411 0.822 0.813
53 F 0.412 0.089 0.903
54 F 0.412 0.822 0.509
55 F 0.491 0.403 0.313
56 F 0.491 0.588 0.178
57 F 0.509 0.412 0.822
58 F 0.509 0.597 0.687
59 F 0.588 0.178 0.491
60 F 0.588 0.911 0.097
61 F 0.589 0.178 0.187
62 F 0.589 0.912 0.403
63 F 0.597 0.411 0.088
64 F 0.597 0.687 0.509
65 F 0.678 0.088 0.991
66 F 0.678 0.089 0.687
67 F 0.687 0.509 0.597
68 F 0.687 0.678 0.089
69 F 0.813 0.411 0.822
70 F 0.813 0.903 0.991
71 F 0.822 0.509 0.412
72 F 0.822 0.813 0.411
73 F 0.903 0.412 0.089
74 F 0.903 0.991 0.813
75 F 0.911 0.097 0.588
76 F 0.911 0.313 0.322
77 F 0.912 0.009 0.322
78 F 0.912 0.403 0.589
79 F 0.991 0.678 0.088
80 F 0.991 0.813 0.903

Output
- magnetization (μB/atom) = 0.80
- DOS at the Fermi energy (states/eV per cell) = 49.6
- E (eV per formula unit) = -109.3
- crystal system = cubic

No. 7
This record from the Alexandria database describes crystalline Rb6VF12 at its relaxed geometry. The functional is PBE+U.

Lattice parameters (Å, degrees): 7.939 7.939 7.939 99.80 99.80 99.80
Element x y z (fractional)
1 Rb 0.090 0.828 0.648
2 Rb 0.172 0.352 0.910
3 Rb 0.352 0.910 0.172
4 Rb 0.648 0.090 0.828
5 Rb 0.828 0.648 0.090
6 Rb 0.910 0.172 0.352
7 V 0.500 0.500 0.500
8 F 0.082 0.897 0.330
9 F 0.103 0.670 0.918
10 F 0.273 0.431 0.515
11 F 0.330 0.082 0.897
12 F 0.431 0.515 0.273
13 F 0.485 0.727 0.569
14 F 0.515 0.273 0.431
15 F 0.569 0.485 0.727
16 F 0.670 0.918 0.103
17 F 0.727 0.569 0.485
18 F 0.897 0.330 0.082
19 F 0.918 0.103 0.670

Output
- magnetization (μB/atom) = 0.06
- DOS at the Fermi energy (states/eV per cell) = 16.0
- E (eV per formula unit) = -83.8
- crystal system = trigonal

No. 8
This record from the Alexandria database describes crystalline Rb3V2F7 at its relaxed geometry. The functional is PBE+U.

Lattice parameters (Å, degrees): 11.683 11.683 11.683 158.96 158.96 29.93
Element x y z (fractional)
1 Rb 0.000 0.000 0.000
2 Rb 0.186 0.186 0.000
3 Rb 0.814 0.814 0.000
4 V 0.405 0.405 0.000
5 V 0.595 0.595 0.000
6 F 0.095 0.595 0.500
7 F 0.311 0.311 0.000
8 F 0.405 0.905 0.500
9 F 0.500 0.500 0.000
10 F 0.595 0.095 0.500
11 F 0.689 0.689 0.000
12 F 0.905 0.405 0.500

Output
- magnetization (μB/atom) = 0.50
- DOS at the Fermi energy (states/eV per cell) = 0.0
- E (eV per formula unit) = -63.9
- crystal system = tetragonal

No. 9
This record from the Alexandria database describes crystalline RbYVF6 at its relaxed geometry. The functional is PBE+U.

Lattice parameters (Å, degrees): 7.988 7.988 7.988 121.29 118.10 90.55
Element x y z (fractional)
1 Rb 0.304 0.054 0.250
2 Rb 0.696 0.946 0.750
3 Y 0.000 0.500 0.500
4 Y 0.500 0.500 0.000
5 V 0.000 0.000 0.500
6 V 0.000 0.500 0.000
7 F 0.051 0.409 0.223
8 F 0.051 0.827 0.642
9 F 0.061 0.811 0.250
10 F 0.315 0.173 0.723
11 F 0.315 0.591 0.142
12 F 0.325 0.575 0.750
13 F 0.675 0.425 0.250
14 F 0.685 0.409 0.858
15 F 0.685 0.827 0.277
16 F 0.939 0.189 0.750
17 F 0.949 0.173 0.358
18 F 0.949 0.591 0.777

Output
- magnetization (μB/atom) = 0.33
- E (eV per formula unit) = -55.9
- crystal system = orthorhombic

No. 10
This record from the Alexandria database describes crystalline Rb2V3ZnF12 at its relaxed geometry. The functional is PBE+U.

Lattice parameters (Å, degrees): 7.495 7.495 7.495 59.92 59.92 59.92
Element x y z (fractional)
1 Rb 0.134 0.134 0.134
2 Rb 0.866 0.866 0.866
3 V 0.000 0.500 0.500
4 V 0.500 0.000 0.500
5 V 0.500 0.500 0.000
6 Zn 0.500 0.500 0.500
7 F 0.172 0.574 0.574
8 F 0.180 0.180 0.569
9 F 0.180 0.569 0.180
10 F 0.426 0.426 0.828
11 F 0.426 0.828 0.426
12 F 0.431 0.820 0.820
13 F 0.569 0.180 0.180
14 F 0.574 0.172 0.574
15 F 0.574 0.574 0.172
16 F 0.820 0.431 0.820
17 F 0.820 0.820 0.431
18 F 0.828 0.426 0.426

Output
- magnetization (μB/atom) = 0.39
- DOS at the Fermi energy (states/eV per cell) = 6.0
- E (eV per formula unit) = -98.0
- crystal system = trigonal

No. 11
This record from the Alexandria database describes crystalline Rb2VZnF6 at its relaxed geometry. The functional is PBE+U.

Lattice parameters (Å, degrees): 5.979 5.979 5.979 60.00 60.00 60.00
Element x y z (fractional)
1 Rb 0.250 0.250 0.250
2 Rb 0.750 0.750 0.750
3 V 0.000 0.000 0.000
4 Zn 0.500 0.500 0.500
5 F 0.254 0.254 0.746
6 F 0.254 0.746 0.254
7 F 0.254 0.746 0.746
8 F 0.746 0.254 0.254
9 F 0.746 0.254 0.746
10 F 0.746 0.746 0.254

Output
- magnetization (μB/atom) = 0.30
- DOS at the Fermi energy (states/eV per cell) = 0.0
- E (eV per formula unit) = -48.4
- crystal system = cubic

No. 12
This record from the Alexandria database describes crystalline RbVZnF6 at its relaxed geometry. The functional is PBE+U.

Lattice parameters (Å, degrees): 7.466 7.466 7.466 121.24 118.96 89.83
Element x y z (fractional)
1 Rb 0.362 0.112 0.250
2 Rb 0.638 0.888 0.750
3 V 0.000 0.500 0.500
4 V 0.500 0.500 0.000
5 Zn 0.000 0.000 0.500
6 Zn 0.000 0.500 0.000
7 F 0.077 0.431 0.262
8 F 0.077 0.815 0.646
9 F 0.077 0.827 0.250
10 F 0.315 0.565 0.750
11 F 0.330 0.185 0.762
12 F 0.330 0.569 0.146
13 F 0.670 0.431 0.854
14 F 0.670 0.815 0.238
15 F 0.685 0.435 0.250
16 F 0.923 0.173 0.750
17 F 0.923 0.185 0.354
18 F 0.923 0.569 0.738

Output
- magnetization (μB/atom) = 0.22
- DOS at the Fermi energy (states/eV per cell) = 0.0
- E (eV per formula unit) = -45.4
- crystal system = orthorhombic

No. 13
This record from the Alexandria database describes crystalline RbZr2VF at its relaxed geometry. The functional is PBE+U.

Lattice parameters (Å, degrees): 4.644 4.644 5.276 90.00 90.00 90.00
Element x y z (fractional)
1 Rb 0.000 0.000 0.000
2 Zr 0.000 0.500 0.500
3 Zr 0.500 0.000 0.500
4 V 0.500 0.500 0.000
5 F 0.000 0.000 0.500

Output
- magnetization (μB/atom) = 0.45
- DOS at the Fermi energy (states/eV per cell) = 3.8
- E (eV per formula unit) = -26.0
- crystal system = tetragonal

No. 14
This record from the Alexandria database describes crystalline RbWF2 at its relaxed geometry. The functional is PBE+U.

Lattice parameters (Å, degrees): 4.740 4.740 4.740 60.00 60.00 60.00
Element x y z (fractional)
1 Rb 0.000 0.000 0.000
2 W 0.500 0.500 0.500
3 F 0.250 0.250 0.250
4 F 0.750 0.750 0.750

Output
- magnetization (μB/atom) = 1.25
- DOS at the Fermi energy (states/eV per cell) = 4.8
- distance to the lowest polymorph of the same formula (meV per atom) = 474.9
- crystal system = cubic

No. 15
This record from the Alexandria database describes crystalline RbWF3 at its relaxed geometry. The functional is PBE+U.

Lattice parameters (Å, degrees): 4.906 4.906 4.906 90.00 90.00 90.00
Element x y z (fractional)
1 Rb 0.000 0.000 0.000
2 W 0.500 0.500 0.500
3 F 0.000 0.000 0.500
4 F 0.000 0.500 0.000
5 F 0.500 0.000 0.000

Output
- magnetization (μB/atom) = 0.80
- DOS at the Fermi energy (states/eV per cell) = 8.5
- distance to the lowest polymorph of the same formula (meV per atom) = 1678.2
- crystal system = cubic

No. 16
This record from the Alexandria database describes crystalline RbWF3 at its relaxed geometry. The functional is PBE+U.

Lattice parameters (Å, degrees): 4.563 4.563 4.563 90.00 90.00 90.00
Element x y z (fractional)
1 Rb 0.000 0.000 0.000
2 W 0.500 0.500 0.500
3 F 0.000 0.500 0.500
4 F 0.500 0.000 0.500
5 F 0.500 0.500 0.000

Output
- magnetization (μB/atom) = 0.76
- DOS at the Fermi energy (states/eV per cell) = 1.1
- distance to the lowest polymorph of the same formula (meV per atom) = 148.2
- crystal system = cubic

No. 17
This record from the Alexandria database describes crystalline Rb2WF at its relaxed geometry. The functional is PBE+U.

Lattice parameters (Å, degrees): 7.613 7.613 7.613 113.59 113.59 101.52
Element x y z (fractional)
1 Rb 0.016 0.625 0.891
2 Rb 0.375 0.266 0.391
3 Rb 0.734 0.125 0.109
4 Rb 0.875 0.984 0.609
5 W 0.250 0.750 0.500
6 W 0.500 0.500 0.000
7 F 0.000 0.000 0.000
8 F 0.750 0.250 0.500

Output
- magnetization (μB/atom) = 1.25
- DOS at the Fermi energy (states/eV per cell) = 0.3
- distance to the lowest polymorph of the same formula (meV per atom) = 0.0
- crystal system = tetragonal